Density functional theory data (PBE with a Hubbard U) for crystalline ZnNiAu2O at its relaxed geometry.

Cell: 4.897 4.897 3.448 Å, 90.00 90.00 90.00°
Fractional positions:
1 Zn 0.000 0.000 0.000
2 Ni 0.500 0.500 0.500
3 Au 0.000 0.500 0.500
4 Au 0.500 0.000 0.500
5 O 0.500 0.500 0.000

Results
E	-14.0	eV/cell
SG	P4/mmm
crystal system	tetragonal